Here is a relaxed structure of Sc2NbAlH from the Alexandria database. Energies are from PBE.

It has space group P4/mmm (No. 123), with a = 4.346 Å, b = 4.346 Å, c = 4.213 Å, α = 90.00°, β = 90.00° and γ = 90.00°. The inequivalent atoms are Sc at (0.000, 0.500, 0.000), Nb at (0.000, 0.000, 0.500), Al at (0.500, 0.500, 0.500) and H at (0.000, 0.000, 0.000).

The raw total energy comes out at -31.43 eV/cell.

---

Here is a relaxed structure of La2Al3Ga from the Alexandria database. Energies are from PBE.

It has space group Pmm2 (No. 25), with a = 4.426 Å, b = 4.428 Å, c = 7.673 Å, α = 90.00°, β = 90.00° and γ = 90.00°. The inequivalent atoms are La at (0.000, 0.000, 0.000), La at (0.500, 0.000, 0.494), Al at (0.000, 0.500, 0.328), Al at (0.000, 0.500, 0.664), Al at (0.500, 0.500, 0.833) and Ga at (0.500, 0.500, 0.163).

The calculation puts the formation energy at -0.532 eV/atom. The raw total energy comes out at -27.30 eV/cell.

---

Here is a relaxed structure of Tb2Ho3Tm6 from the Alexandria database. Energies are from PBE.

It has space group R-3m (No. 166, hexagonal axes), with a = 3.5074 Å, b = 3.5074 Å, c = 94.0810 Å, α = 90.00°, β = 90.00° and γ = 120.00°. The inequivalent atoms are Tb at (0.0000, 0.0000, 0.0454), Ho at (0.0000, 0.0000, 0.2272), Ho at (0.0000, 0.0000, 0.5000), Tm at (0.0000, 0.0000, 0.1364), Tm at (0.0000, 0.0000, 0.3184) and Tm at (0.0000, 0.0000, 0.4092).

The calculation puts the formation energy at 0.024 eV/atom. The value obtained for the energy above the lowest structure with this stoichiometry is 0 kJ/mol of formula units. The raw total energy comes out at -148.67 eV/cell.

---

Here is a relaxed structure of HfPaNiRh from the Alexandria database. Energies are from PBE.

It has space group F-43m (No. 216), with a = 6.669 Å, b = 6.669 Å, c = 6.669 Å, α = 90.00°, β = 90.00° and γ = 90.00°. The inequivalent atoms are Hf at (0.000, 0.000, 0.000), Pa at (0.000, 0.000, 0.500), Ni at (0.250, 0.250, 0.750) and Rh at (0.250, 0.250, 0.250).

The calculation puts the formation energy at -0.417 eV/atom. The raw total energy comes out at -137.00 eV/cell.

---

Here is a relaxed structure of CaZnPt2 from the Alexandria database. Energies are from PBE.

It has space group I4/mmm (No. 139), with a = 4.276 Å, b = 4.276 Å, c = 7.653 Å, α = 90.00°, β = 90.00° and γ = 90.00°. The inequivalent atoms are Ca at (0.000, 0.000, 0.000), Zn at (0.000, 0.000, 0.500) and Pt at (0.000, 0.500, 0.250).

The calculation puts the formation energy at -0.616 eV/atom. The raw total energy comes out at -35.64 eV/cell.

---

Here is a relaxed structure of MgZr2Br from the Alexandria database. Energies are from PBE.

It has space group P4/mmm (No. 123), with a = 3.221 Å, b = 3.221 Å, c = 8.301 Å, α = 90.00°, β = 90.00° and γ = 90.00°. The inequivalent atoms are Mg at (0.000, 0.000, 0.000), Zr at (0.500, 0.500, 0.264) and Br at (0.000, 0.000, 0.500).

The value obtained for the energy above the lowest structure with this stoichiometry is 78 kJ/mol of formula units. The raw total energy comes out at -20.66 eV/cell. The formation energy from raw total energies comes out at -0.0744 eV/atom.

---

| no. | volume (Å³ per atom) | total moment (Bohr magnetons per cell) |
| --- | --- | --- |
| 1 | 15.91 | 0.0 |
| 2 | 25.06 | 0.0 |
| 3 | 30.37 | 0.0 |
| 4 | 18.53 | 0.2 |
| 5 | 17.49 | 0.0 |
| 6 | 21.53 | 0.0 |